(1)
Density functional theory data (PBE) for a geometry-optimized Ta4RuSe structure.

Properties
SG	F-43m (216)
M_tot	0.00	μB per cell
energy relative to the elements, uncorrected	3.644	eV/f.u.

Cell: 5.416 5.416 5.416 Å, 60.00 60.00 60.00°
Atoms (fractional coordinates):
Ta1 0.125 0.125 0.125
Ta2 0.125 0.125 0.626
Ta3 0.125 0.626 0.125
Ta4 0.626 0.125 0.125
Ru1 0.750 0.750 0.750
Se1 0.500 0.500 0.500

=====

(2)
Density functional theory data (PBE) for a geometry-optimized TaRuSe2 structure.

Properties
SG	Fm-3m (225)
M_tot	0.00	μB per cell
energy relative to the elements, uncorrected	-0.063	eV/f.u.

Cell: 4.496 4.496 4.496 Å, 60.00 60.00 60.00°
Atoms (fractional coordinates):
Ta1 0.000 0.000 0.000
Ru1 0.500 0.500 0.500
Se1 0.250 0.250 0.250
Se2 0.750 0.750 0.750

=====

(3)
Density functional theory data (PBE) for a geometry-optimized TaRuSe2 structure.

Properties
SG	P4mm (99)
M_tot	0.54	μB per cell
energy relative to the elements, uncorrected	-0.989	eV/f.u.

Cell: 3.489 3.489 7.088 Å, 90.00 90.00 90.00°
Atoms (fractional coordinates):
Ta1 0.000 0.000 0.000
Ru1 0.500 0.500 0.167
Se1 0.000 0.000 0.349
Se2 0.500 0.500 0.815

=====

Per-record DFT total energy, eV/cell: -56.53; -28.16; -29.09